First-principles (GGA-PBE) data for an optimized crystal structure of AcPm2Hg2, as listed in Alexandria via LeMat-Bulk.

Results
space group = C2/c
theoretical density = 8.303 g cm⁻³
E above lowest polymorph = 238.3 meV/atom
Fermi-level density of states = 5.4 states/eV/f.u.
formation enthalpy at 0 K = -0.2 eV per formula unit

CIF file:
```
data_AcPm2Hg2
_chemical_formula_sum 'Ac2 Pm4 Hg4'
_cell_length_a 7.0813
_cell_length_b 7.0813
_cell_length_c 9.0054
_cell_angle_alpha 102.43
_cell_angle_beta 102.43
_cell_angle_gamma 116.86
_symmetry_space_group_name_H-M 'P 1'
_symmetry_Int_Tables_number 1
loop_
_symmetry_equiv_pos_as_xyz
'x,y,z'
loop_
_atom_site_label
_atom_site_fract_x
_atom_site_fract_y
_atom_site_fract_z
_atom_site_occupancy
Hg1 0.1562 0.3438 0.7500 1
Hg2 0.5946 0.9054 0.7500 1
Hg3 0.4054 0.0946 0.2500 1
Hg4 0.8438 0.6562 0.2500 1
Ac1 0.8752 0.6248 0.7500 1
Ac2 0.1248 0.3752 0.2500 1
Pm1 0.2707 0.0197 0.5423 1
Pm2 0.4803 0.2293 0.9577 1
Pm3 0.7293 0.9803 0.4577 1
Pm4 0.5197 0.7707 0.0423 1
```